This record from Alexandria describes a relaxed La8Si3OsI4 crystal. The functional is GGA-PBE.

Structure (extended XYZ):
```
16
Lattice="-5.114 4.994 -5.141 -7.504 -2.437 5.096 6.861 3.588 4.200" Properties=species:S:1:pos:R:3 pbc="T T T"
La -3.396 0.636 0.385
Os -3.752 -1.219 2.548
Si -0.321 0.575 4.648
I 0.874 4.291 -0.471
I 0.000 0.000 0.000
La -6.061 3.238 -2.294
La 0.055 2.509 2.383
La -5.812 3.636 1.772
La 0.304 2.907 6.450
Si -6.309 1.279 -0.023
I 3.431 1.794 2.100
Si -2.878 3.072 2.078
La -3.271 1.042 4.265
I -2.557 2.497 -2.571
La -2.486 5.103 -0.110
La -2.361 5.509 3.770
```

Raw total energy: -87.92 eV per cell
Formation energy without anion corrections: -14.8 eV per formula unit
Volume: 33.15 A^3/atom
Calculated density: 5.928 g/cm3
DOS(E_F): 14.0 states/eV/cell
SG: R-3m (166)